Entry 1:
A plane-wave DFT calculation with GGA-PBE was carried out for crystalline Nb3AgO6 at its relaxed geometry.

a = 6.789 Å, b = 6.789 Å, c = 6.789 Å
α = 71.81°, β = 71.81°, γ = 71.81°
Atoms (fractional coordinates):
Nb (0.179, 0.616, 0.439)
Nb (0.384, 0.561, 0.821)
Nb (0.439, 0.179, 0.616)
Nb (0.561, 0.821, 0.384)
Nb (0.616, 0.439, 0.179)
Nb (0.821, 0.384, 0.561)
Ag (0.097, 0.097, 0.097)
Ag (0.903, 0.903, 0.903)
O (0.111, 0.644, 0.740)
O (0.130, 0.295, 0.583)
O (0.260, 0.889, 0.356)
O (0.295, 0.583, 0.130)
O (0.356, 0.260, 0.889)
O (0.417, 0.870, 0.705)
O (0.583, 0.130, 0.295)
O (0.644, 0.740, 0.111)
O (0.705, 0.417, 0.870)
O (0.740, 0.111, 0.644)
O (0.870, 0.705, 0.417)
O (0.889, 0.356, 0.260)

Summary:
Space group: R-3
DFT total energy: -8.17 eV per atom

Entry 2:
A plane-wave DFT calculation with GGA-PBE was carried out for crystalline Nb3AgO8 at its relaxed geometry.

a = 7.309 Å, b = 7.309 Å, c = 7.309 Å
α = 119.23°, β = 88.68°, γ = 122.33°
Atoms (fractional coordinates):
Nb (0.232, 0.747, 0.979)
Nb (0.250, 0.250, 0.000)
Nb (0.268, 0.247, 0.515)
Nb (0.732, 0.753, 0.485)
Nb (0.750, 0.750, 0.000)
Nb (0.768, 0.253, 0.021)
Ag (0.250, 0.750, 0.500)
Ag (0.750, 0.250, 0.500)
O (0.059, 0.010, 0.665)
O (0.071, 0.887, 0.957)
O (0.154, 0.490, 0.049)
O (0.169, 0.508, 0.677)
O (0.331, 0.008, 0.340)
O (0.346, 0.395, 0.335)
O (0.429, 0.387, 0.816)
O (0.441, 0.105, 0.951)
O (0.559, 0.895, 0.049)
O (0.571, 0.613, 0.184)
O (0.654, 0.605, 0.665)
O (0.669, 0.992, 0.660)
O (0.831, 0.492, 0.323)
O (0.846, 0.510, 0.951)
O (0.929, 0.113, 0.043)
O (0.941, 0.990, 0.335)

Summary:
Space group: Ibam
DFT total energy: -8.25 eV per atom

Entry 3:
A plane-wave DFT calculation with GGA-PBE was carried out for crystalline NbAgO3 at its relaxed geometry.

a = 6.379 Å, b = 6.379 Å, c = 6.436 Å
α = 90.00°, β = 90.00°, γ = 153.28°
Atoms (fractional coordinates):
Nb (0.242, 0.758, 0.500)
Nb (0.758, 0.242, 0.000)
Ag (0.499, 0.501, 0.254)
Ag (0.501, 0.499, 0.754)
O (0.180, 0.820, 0.180)
O (0.180, 0.820, 0.820)
O (0.377, 0.623, 0.000)
O (0.623, 0.377, 0.500)
O (0.820, 0.180, 0.320)
O (0.820, 0.180, 0.680)

Summary:
Space group: Cmc2_1
DFT total energy: -7.28 eV per atom